1.
Below is a relaxed Zr3AgMo crystal, with properties calculated at the PBE level.

As for the magnetization: 2.965 μB per cell. The value obtained for the relative energy among the computed polymorphs is 329 kJ/mol of formula units. The final energy is -32.169 eV/cell.

abc: 5.077 5.077 5.077
angles: 90.00 90.00 90.00
Space group Pm-3m (No. 221)
Unique sites:
Zr 0.000 0.000 0.500
Ag 0.000 0.000 0.000
Mo 0.500 0.500 0.500

---

2.
Below is a relaxed Na3AgF crystal, with properties calculated at the PBE level.

As for the magnetization: 0.000 μB per cell. The formation energy from raw total energies comes out at -1011.5 meV/atom. The value obtained for the relative energy among the computed polymorphs is 0 kJ/mol of formula units. The final energy is -13.737 eV/cell.

abc: 4.734 4.734 4.734
angles: 90.00 90.00 90.00
Space group Pm-3m (No. 221)
Unique sites:
Na 0.000 0.000 0.500
Ag 0.500 0.500 0.500
F 0.000 0.000 0.000

---

3.
Below is a relaxed DyTm2Cu3 crystal, with properties calculated at the PBE level.

As for the magnetization: 0.000 μB per cell. The final energy is -27.522 eV/cell.

abc: 3.426 3.426 10.338
angles: 90.00 90.00 90.00
Space group P4/mmm (No. 123)
Unique sites:
Dy 0.000 0.000 0.000
Tm 0.000 0.000 0.335
Cu 0.500 0.500 0.172
Cu 0.500 0.500 0.500

---

4.
Below is a relaxed Pu2Tl3SbTe6 crystal, with properties calculated at the PBE level.

As for the magnetization: 20.001 μB per cell. The formation energy from raw total energies comes out at -586.7 meV/atom. The final energy is -131.550 eV/cell.

abc: 7.818 13.552 8.472
angles: 90.00 107.95 90.00
Space group C2/m (No. 12)
Unique sites:
Pu 0.000 0.166 0.000
Tl 0.000 0.000 0.500
Tl 0.000 0.331 0.500
Sb 0.000 0.500 0.000
Te 0.237 0.334 0.213
Te 0.239 0.000 0.215

---

5.
Below is a relaxed VSiOs crystal, with properties calculated at the PBE level.

As for the magnetization: 0.000 μB per cell. The formation energy from raw total energies comes out at -355.8 meV/atom. The final energy is -53.678 eV/cell.

abc: 2.925 2.925 9.211
angles: 90.00 90.00 90.00
Space group I4mm (No. 107)
Unique sites:
V 0.000 0.000 0.000
Si 0.000 0.000 0.667
Os 0.000 0.000 0.324

---

6.
Below is a relaxed Th2TiWN6 crystal, with properties calculated at the PBE level.

As for the magnetization: 0.000 μB per cell. The formation energy from raw total energies comes out at -1257.7 meV/atom. The final energy is -98.217 eV/cell.

abc: 5.430 5.430 4.750
angles: 90.00 90.00 90.00
Space group P4mm (No. 99)
Unique sites:
Th 0.000 0.500 0.000
Ti 0.000 0.000 0.568
W 0.500 0.500 0.573
N 0.000 0.000 0.182
N 0.254 0.254 0.702
N 0.500 0.500 0.186

---

7.
Below is a relaxed TbThIr2 crystal, with properties calculated at the PBE level.

As for the magnetization: 0.000 μB per cell. The value obtained for the relative energy among the computed polymorphs is 44 kJ/mol of formula units. The final energy is -131.739 eV/cell.

abc: 11.955 5.695 5.710
angles: 90.00 106.70 90.00
Space group C2/m (No. 12)
Unique sites:
Tb 0.146 0.000 0.453
Th 0.141 0.500 0.926
Ir 0.099 0.500 0.401
Ir 0.103 0.000 0.930

---

8.
Below is a relaxed Pr3Nd2Tm6 crystal, with properties calculated at the PBE level.

As for the magnetization: 0.000 μB per cell. The value obtained for the relative energy among the computed polymorphs is 68 kJ/mol of formula units. The final energy is -95.792 eV/cell.

abc: 4.775 4.775 33.110
angles: 90.00 90.00 90.00
Space group I4/mmm (No. 139)
Unique sites:
Pr 0.000 0.000 0.000
Pr 0.000 0.000 0.206
Nd 0.000 0.000 0.453
Tm 0.000 0.000 0.310
Tm 0.000 0.500 0.121